(1)
{"formula": "Tb6NdTm4", "functional": "PBE-GGA", "state": "optimized geometry", "formation_energy_ev_per_atom": 0.122, "vol_a3_per_fu": 350.6, "magnetic_moment_mub_per_fu": 0.0, "de_polymorph_mev_per_atom": 0, "lattice_angstrom": [[2.844, -4.810, 0.000], [2.844, 4.810, 0.000], [0.000, 0.000, 25.628]], "species": ["Tb", "Tb", "Tb", "Tb", "Tb", "Tb", "Tb", "Tb", "Tb", "Tb", "Tb", "Tb", "Nd", "Nd", "Tm", "Tm", "Tm", "Tm", "Tm", "Tm", "Tm", "Tm"], "fractional_positions": [[0.000, 0.000, 0.000], [0.000, 0.000, 0.500], [0.025, 0.975, 0.750], [0.310, 0.690, 0.101], [0.310, 0.690, 0.399], [0.359, 0.641, 0.680], [0.359, 0.641, 0.820], [0.641, 0.359, 0.180], [0.641, 0.359, 0.320], [0.690, 0.310, 0.601], [0.690, 0.310, 0.899], [0.975, 0.025, 0.250], [0.310, 0.690, 0.250], [0.690, 0.310, 0.750], [0.028, 0.972, 0.622], [0.028, 0.972, 0.878], [0.343, 0.657, 0.542], [0.343, 0.657, 0.958], [0.657, 0.343, 0.042], [0.657, 0.343, 0.458], [0.972, 0.028, 0.122], [0.972, 0.028, 0.378]]}

---

(2)
{"formula": "Tb7Nd3Tm", "functional": "PBE-GGA", "state": "optimized geometry", "formation_energy_ev_per_atom": 0.172, "vol_a3_per_fu": 379.4, "magnetic_moment_mub_per_fu": 0.0, "de_polymorph_mev_per_atom": 33, "lattice_angstrom": [[7.097, 0.000, 0.000], [-3.548, 6.146, 0.000], [0.000, 0.000, 8.699]], "species": ["Tb", "Tb", "Tb", "Tb", "Tb", "Tb", "Tb", "Nd", "Nd", "Nd", "Tm"], "fractional_positions": [[0.000, 0.000, 0.000], [0.166, 0.332, 0.676], [0.166, 0.834, 0.676], [0.501, 0.002, 0.002], [0.501, 0.499, 0.002], [0.668, 0.834, 0.676], [0.998, 0.499, 0.002], [0.334, 0.167, 0.340], [0.833, 0.167, 0.340], [0.833, 0.666, 0.340], [0.667, 0.333, 0.679]]}

---

(3)
{"formula": "Tb6NdTm", "functional": "PBE-GGA", "state": "optimized geometry", "formation_energy_ev_per_atom": 0.369, "vol_a3_per_fu": 282.1, "magnetic_moment_mub_per_fu": 0.0, "de_polymorph_mev_per_atom": 347, "lattice_angstrom": [[9.984, 0.000, 0.000], [0.000, 6.855, 0.000], [-2.014, 0.000, 8.244]], "species": ["Tb", "Tb", "Tb", "Tb", "Tb", "Tb", "Tb", "Tb", "Tb", "Tb", "Tb", "Tb", "Nd", "Nd", "Tm", "Tm"], "fractional_positions": [[0.128, 0.000, 0.425], [0.195, 0.238, 0.803], [0.195, 0.762, 0.803], [0.305, 0.262, 0.197], [0.305, 0.738, 0.197], [0.372, 0.500, 0.575], [0.628, 0.500, 0.425], [0.695, 0.262, 0.803], [0.695, 0.738, 0.803], [0.805, 0.238, 0.197], [0.805, 0.762, 0.197], [0.872, 0.000, 0.575], [0.000, 0.500, 0.500], [0.500, 0.000, 0.500], [0.000, 0.500, 0.000], [0.500, 0.000, 0.000]]}

---

(4)
{"formula": "Tb6NdTm2", "functional": "PBE-GGA", "state": "optimized geometry", "formation_energy_ev_per_atom": 0.018, "vol_a3_per_fu": 286.4, "magnetic_moment_mub_per_fu": 0.0, "de_polymorph_mev_per_atom": 0, "lattice_angstrom": [[9.240, -1.781, 0.000], [9.240, 1.781, 0.000], [-0.023, 0.000, 8.703]], "species": ["Tb", "Tb", "Tb", "Tb", "Tb", "Tb", "Nd", "Tm", "Tm"], "fractional_positions": [[0.111, 0.111, 0.165], [0.222, 0.222, 0.835], [0.333, 0.333, 0.501], [0.667, 0.667, 0.499], [0.778, 0.778, 0.165], [0.889, 0.889, 0.835], [0.000, 0.000, 0.500], [0.444, 0.444, 0.164], [0.556, 0.556, 0.836]]}

---

(5)
{"formula": "Tb2Nd3Tm", "functional": "PBE-GGA", "state": "optimized geometry", "formation_energy_ev_per_atom": 0.016, "vol_a3_per_fu": 199.1, "magnetic_moment_mub_per_fu": 0.0, "de_polymorph_mev_per_atom": 22, "lattice_angstrom": [[5.127, 0.000, 0.000], [0.000, 15.342, 0.000], [0.000, 0.000, 5.062]], "species": ["Tb", "Tb", "Tb", "Tb", "Nd", "Nd", "Nd", "Nd", "Nd", "Nd", "Tm", "Tm"], "fractional_positions": [[0.000, 0.166, 0.000], [0.000, 0.834, 0.000], [0.500, 0.334, 0.000], [0.500, 0.666, 0.000], [0.000, 0.000, 0.500], [0.000, 0.334, 0.500], [0.000, 0.666, 0.500], [0.500, 0.166, 0.500], [0.500, 0.500, 0.500], [0.500, 0.834, 0.500], [0.000, 0.500, 0.000], [0.500, 0.000, 0.000]]}

---

(6)
{"formula": "Tb3Nd2Tm8", "functional": "PBE-GGA", "state": "optimized geometry", "formation_energy_ev_per_atom": 0.252, "vol_a3_per_fu": 429.3, "magnetic_moment_mub_per_fu": 0.0, "lattice_angstrom": [[7.575, 0.000, 0.000], [0.000, 5.491, 0.000], [-3.787, 0.000, 10.319]], "species": ["Tb", "Tb", "Tb", "Nd", "Nd", "Tm", "Tm", "Tm", "Tm", "Tm", "Tm", "Tm", "Tm"], "fractional_positions": [[0.000, 0.000, 0.000], [0.288, 0.500, 0.000], [0.712, 0.500, 0.000], [0.241, 0.000, 0.480], [0.759, 0.000, 0.520], [0.128, 0.500, 0.256], [0.179, 0.000, 0.785], [0.339, 0.500, 0.677], [0.394, 0.000, 0.215], [0.606, 0.000, 0.785], [0.661, 0.500, 0.323], [0.821, 0.000, 0.215], [0.872, 0.500, 0.744]]}

---

(7)
{"formula": "Tb5Nd6Tm", "functional": "PBE-GGA", "state": "optimized geometry", "formation_energy_ev_per_atom": 0.011, "vol_a3_per_fu": 399.4, "magnetic_moment_mub_per_fu": 0.0, "de_polymorph_mev_per_atom": 0, "lattice_angstrom": [[3.139, -5.437, 0.000], [3.139, 5.437, 0.000], [-2.086, 0.000, 11.701]], "species": ["Tb", "Tb", "Tb", "Tb", "Tb", "Nd", "Nd", "Nd", "Nd", "Nd", "Nd", "Tm"], "fractional_positions": [[0.000, 0.000, 0.000], [0.167, 0.833, 0.500], [0.333, 0.667, 0.000], [0.667, 0.333, 0.000], [0.833, 0.167, 0.500], [0.085, 0.418, 0.251], [0.250, 0.250, 0.749], [0.418, 0.085, 0.251], [0.582, 0.915, 0.749], [0.750, 0.750, 0.251], [0.915, 0.582, 0.749], [0.500, 0.500, 0.500]]}

---

(8)
{"formula": "Tb15Nd4Tm", "functional": "PBE-GGA", "state": "optimized geometry", "formation_energy_ev_per_atom": 0.018, "vol_a3_per_fu": 649.4, "magnetic_moment_mub_per_fu": 0.0, "lattice_angstrom": [[5.068, 0.000, 0.000], [0.000, 5.068, 0.000], [0.000, 0.000, 25.283]], "species": ["Tb", "Tb", "Tb", "Tb", "Tb", "Tb", "Tb", "Tb", "Tb", "Tb", "Tb", "Tb", "Tb", "Tb", "Tb", "Nd", "Nd", "Nd", "Nd", "Tm"], "fractional_positions": [[0.000, 0.000, 0.000], [0.000, 0.000, 0.198], [0.000, 0.000, 0.400], [0.000, 0.000, 0.600], [0.000, 0.000, 0.802], [0.000, 0.500, 0.098], [0.000, 0.500, 0.299], [0.000, 0.500, 0.500], [0.000, 0.500, 0.701], [0.000, 0.500, 0.902], [0.500, 0.000, 0.098], [0.500, 0.000, 0.299], [0.500, 0.000, 0.500], [0.500, 0.000, 0.701], [0.500, 0.000, 0.902], [0.500, 0.500, 0.199], [0.500, 0.500, 0.399], [0.500, 0.500, 0.601], [0.500, 0.500, 0.801], [0.500, 0.500, 0.000]]}

---

(9)
{"formula": "TbNd3Tm8", "functional": "PBE-GGA", "state": "optimized geometry", "formation_energy_ev_per_atom": 0.292, "vol_a3_per_fu": 407.5, "magnetic_moment_mub_per_fu": 0.0, "lattice_angstrom": [[-3.193, 5.620, 5.677], [3.193, -5.620, 5.677], [3.193, 5.620, -5.677]], "species": ["Tb", "Nd", "Nd", "Nd", "Tm", "Tm", "Tm", "Tm", "Tm", "Tm", "Tm", "Tm"], "fractional_positions": [[0.000, 0.000, 0.000], [0.248, 0.748, 0.500], [0.500, 0.500, 0.000], [0.752, 0.252, 0.500], [0.079, 0.249, 0.830], [0.246, 0.251, 0.498], [0.246, 0.749, 0.995], [0.420, 0.249, 0.170], [0.580, 0.751, 0.830], [0.754, 0.251, 0.005], [0.754, 0.749, 0.502], [0.921, 0.751, 0.170]]}

---

(10)
{"formula": "Tb2Nd8Tm", "functional": "PBE-GGA", "state": "optimized geometry", "formation_energy_ev_per_atom": 0.160, "vol_a3_per_fu": 390.4, "magnetic_moment_mub_per_fu": 0.0, "de_polymorph_mev_per_atom": 0, "lattice_angstrom": [[5.212, -6.802, 0.000], [5.212, 6.802, 0.000], [-0.018, 0.000, 5.505]], "species": ["Tb", "Tb", "Nd", "Nd", "Nd", "Nd", "Nd", "Nd", "Nd", "Nd", "Tm"], "fractional_positions": [[0.119, 0.881, 0.000], [0.881, 0.119, 0.000], [0.166, 0.166, 0.500], [0.202, 0.470, 0.999], [0.248, 0.752, 0.500], [0.470, 0.202, 0.999], [0.530, 0.798, 0.001], [0.752, 0.248, 0.500], [0.798, 0.530, 0.001], [0.834, 0.834, 0.500], [0.500, 0.500, 0.500]]}

---

(11)
{"formula": "Tb3Nd6Tm2", "functional": "PBE-GGA", "state": "optimized geometry", "formation_energy_ev_per_atom": 0.294, "vol_a3_per_fu": 385.3, "magnetic_moment_mub_per_fu": 0.0, "de_polymorph_mev_per_atom": 213, "lattice_angstrom": [[-2.386, 2.386, 16.929], [2.386, -2.386, 16.929], [2.386, 2.386, -16.929]], "species": ["Tb", "Tb", "Tb", "Nd", "Nd", "Nd", "Nd", "Nd", "Nd", "Tm", "Tm"], "fractional_positions": [[0.000, 0.000, 0.000], [0.195, 0.195, 0.000], [0.805, 0.805, 0.000], [0.119, 0.619, 0.500], [0.296, 0.296, 0.000], [0.381, 0.881, 0.500], [0.619, 0.119, 0.500], [0.704, 0.704, 0.000], [0.881, 0.381, 0.500], [0.455, 0.455, 0.000], [0.545, 0.545, 0.000]]}

---

(12)
{"formula": "Tb4NdTm8", "functional": "PBE-GGA", "state": "optimized geometry", "formation_energy_ev_per_atom": 0.209, "vol_a3_per_fu": 406.4, "magnetic_moment_mub_per_fu": 0.0, "lattice_angstrom": [[3.627, 2.094, 8.917], [-3.627, 2.094, 8.917], [0.000, -4.188, 8.917]], "species": ["Tb", "Tb", "Tb", "Tb", "Nd", "Tm", "Tm", "Tm", "Tm", "Tm", "Tm", "Tm", "Tm"], "fractional_positions": [[0.000, 0.000, 0.000], [0.000, 0.500, 0.500], [0.500, 0.000, 0.500], [0.500, 0.500, 0.000], [0.500, 0.500, 0.500], [0.191, 0.750, 0.750], [0.218, 0.218, 0.218], [0.250, 0.250, 0.809], [0.250, 0.809, 0.250], [0.750, 0.191, 0.750], [0.750, 0.750, 0.191], [0.782, 0.782, 0.782], [0.809, 0.250, 0.250]]}